[1]
Computed, not measured: TaFe2Te after structural relaxation at the PBE level of DFT.

Computed properties:
Raw formation energy = 316 meV per atom
SG = No. 12
Magnetic moment = 2.76 Bohr magnetons per cell

a = 4.419 Å, b = 4.419 Å, c = 4.962 Å
α = 100.20°, β = 100.20°, γ = 42.94°
Sites, in units of the cell vectors:
1 Ta 0.000 0.000 0.000
2 Fe 0.262 0.262 0.786
3 Fe 0.738 0.738 0.214
4 Te 0.500 0.500 0.500

[2]
Computed, not measured: LaIn2Ni2 after structural relaxation at the PBE level of DFT.

Computed properties:
SG = No. 12
DFT formation energy = -402 meV per atom
Magnetic moment = 0.00 Bohr magnetons per cell

a = 5.370 Å, b = 5.370 Å, c = 5.128 Å
α = 102.68°, β = 102.68°, γ = 46.96°
Sites, in units of the cell vectors:
1 La 0.000 0.000 0.000
2 In 0.344 0.344 0.414
3 In 0.656 0.656 0.586
4 Ni 0.266 0.266 0.878
5 Ni 0.734 0.734 0.122